Entry 1:
First-principles (PBE) data for a relaxed GdYZr crystal, as listed in the Open Quantum Materials Database.

Lattice parameters (Å, degrees): 5.2128 5.2128 5.2128 60.00 60.00 60.00
Atoms (fractional coordinates):
Gd  0.5000  0.5000  0.5000
Y  0.2500  0.2500  0.2500
Zr  0.0000  0.0000  0.0000

Computed properties:
- Calculated density: 5.6 g/cm³
- VASP energy: -5.57 eV/atom
- Total magnetization: 0.004 μB per cell

---

Entry 2:
First-principles (PBE) data for a relaxed ZrNiC2 crystal, as listed in the Open Quantum Materials Database.

Lattice parameters (Å, degrees): 3.3688 3.3688 8.6045 90.00 90.00 120.00
Atoms (fractional coordinates):
C  0.6667  0.3333  0.1659
C  0.6667  0.3333  0.3341
C  0.3333  0.6667  0.6659
C  0.3333  0.6667  0.8341
Ni  0.3333  0.6667  0.2500
Ni  0.6667  0.3333  0.7500
Zr  0.0000  0.0000  0.0000
Zr  0.0000  0.0000  0.5000

Computed properties:
- Calculated density: 6.8 g/cm³
- Total magnetization: 0.017 μB per cell
- Offset from the most stable computed form: 0.0000 eV per atom

---

Entry 3:
First-principles (PBE) data for a relaxed ErSi2Pt crystal, as listed in the Open Quantum Materials Database.

Lattice parameters (Å, degrees): 4.1169 5.9759 5.6571 90.00 90.00 90.00
Atoms (fractional coordinates):
Er  0.0000  0.4021  0.3616
Er  0.5000  0.5979  0.8616
Pt  0.0000  0.8988  0.1535
Pt  0.5000  0.1012  0.6535
Si  0.5000  0.1418  0.1246
Si  0.5000  0.7550  0.3603
Si  0.0000  0.8582  0.6246
Si  0.0000  0.2450  0.8603

Computed properties:
- Calculated density: 10.0 g/cm³
- VASP energy: -6.13 eV/atom
- Total magnetization: 0.002 μB per cell

---

Entry 4:
First-principles (PBE) data for a relaxed YTeAuO crystal, as listed in the Open Quantum Materials Database.

Lattice parameters (Å, degrees): 7.7953 6.3251 6.3055 90.00 90.13 90.00
Atoms (fractional coordinates):
Au  0.9164  0.2989  0.0113
Au  0.0836  0.7989  0.4887
Au  0.9164  0.2011  0.5113
Au  0.0836  0.7011  0.9887
O  0.4970  0.7417  0.0039
O  0.5030  0.2417  0.4961
O  0.4970  0.7583  0.5039
O  0.5030  0.2583  0.9961
Te  0.8070  0.9420  0.2030
Te  0.1930  0.4420  0.2970
Te  0.8070  0.5580  0.7030
Te  0.1930  0.0580  0.7970
Y  0.5962  0.4831  0.2471
Y  0.4038  0.9831  0.2529
Y  0.5962  0.0169  0.7471
Y  0.4038  0.5169  0.7529

Computed properties:
- Calculated density: 9.2 g/cm³
- Total magnetization: 0.000 μB per cell
- Offset from the most stable computed form: 0.2035 eV per atom

---

Entry 5:
First-principles (PBE) data for a relaxed Nd2YMg4Si4 crystal, as listed in the Open Quantum Materials Database.

Lattice parameters (Å, degrees): 13.6640 13.6640 13.6640 162.47 161.56 25.55
Atoms (fractional coordinates):
Mg  0.2511  0.2511  0.0000
Mg  0.7489  0.7489  0.0000
Mg  0.9082  0.4082  0.5000
Mg  0.0918  0.5918  0.5000
Nd  0.6406  0.1406  0.5000
Nd  0.3594  0.8594  0.5000
Si  0.4564  0.4564  0.0000
Si  0.5436  0.5436  0.0000
Si  0.8130  0.3130  0.5000
Si  0.1870  0.6870  0.5000
Y  0.0000  0.0000  0.0000

Computed properties:
- Calculated density: 4.0 g/cm³
- VASP energy: -4.41 eV/atom
- Total magnetization: 0.013 μB per cell

---

Entry 6:
First-principles (PBE) data for a relaxed Dy3GaS6 crystal, as listed in the Open Quantum Materials Database.

Lattice parameters (Å, degrees): 6.4653 8.5159 8.5159 102.54 90.00 90.00
Atoms (fractional coordinates):
Dy  0.7261  0.2840  0.0861
Dy  0.2261  0.0861  0.2840
Dy  0.1373  0.5984  0.4016
Dy  0.6373  0.4016  0.5984
Dy  0.7261  0.9139  0.7160
Dy  0.2261  0.7160  0.9139
Ga  0.7615  0.7997  0.2003
Ga  0.2615  0.2003  0.7997
S  0.9074  0.9606  0.0394
S  0.9419  0.5674  0.1002
S  0.4104  0.7826  0.2174
S  0.4312  0.3676  0.3086
S  0.9312  0.3086  0.3676
S  0.9419  0.8998  0.4326
S  0.4419  0.1002  0.5674
S  0.4312  0.6914  0.6324
S  0.9312  0.6324  0.6914
S  0.9104  0.2174  0.7826
S  0.4419  0.4326  0.8998
S  0.4074  0.0394  0.9606

Computed properties:
- Calculated density: 5.4 g/cm³
- VASP energy: -5.90 eV/atom
- Total magnetization: 0.002 μB per cell

---

Q: Look up the calculated density of the third one.
A: 10.0 g/cm³